No. 1
The following is a PBE-GGA calculation of SnAsW4C2 after structural relaxation, from the Open Quantum Materials Database.

Unit cell a=3.226 b=3.226 c=12.762 alpha=90.00 beta=90.00 gamma=120.00
Atoms (fractional coordinates):
W 0.667 0.333 0.651
W 0.333 0.667 0.180
W 0.333 0.667 0.820
As 0.333 0.667 0.500
W 0.667 0.333 0.349
C 0.000 0.000 0.739
C 0.000 0.000 0.261
Sn 0.667 0.333 0.000

Values from the calculation:
The uncorrected energy comes out at -77.013 eV per cell. The value obtained for the total magnetization is 0.00 μB/f.u.



No. 2
The following is a PBE-GGA calculation of Y2Ta4As3C3 after structural relaxation, from the Open Quantum Materials Database.

Unit cell a=5.915 b=5.915 c=13.047 alpha=103.05 beta=103.05 gamma=59.90
Atoms (fractional coordinates):
Y 0.622 0.463 0.891
As 0.051 0.949 0.250
Ta 0.303 0.146 0.911
Ta 0.146 0.303 0.411
As 0.783 0.585 0.252
As 0.217 0.415 0.748
C 0.678 0.144 0.000
Ta 0.697 0.854 0.089
C 0.500 0.000 0.500
C 0.322 0.856 0.000
C 0.144 0.678 0.500
C 0.000 0.500 0.000
Y 0.378 0.537 0.109
As 0.585 0.783 0.752
Y 0.537 0.378 0.609
Ta 0.205 0.022 0.588
Ta 0.854 0.697 0.589
Ta 0.795 0.978 0.412
Ta 0.022 0.205 0.088
Ta 0.978 0.795 0.912
C 0.856 0.322 0.500
As 0.415 0.217 0.248
Y 0.463 0.622 0.391
As 0.949 0.051 0.750

Values from the calculation:
The uncorrected energy comes out at -218.885 eV per cell. The value obtained for the total magnetization is 0.00 μB/f.u.



No. 3
The following is a PBE-GGA calculation of Y4Ta2As3C3 after structural relaxation, from the Open Quantum Materials Database.

Unit cell a=6.132 b=6.132 c=13.602 alpha=103.77 beta=103.77 gamma=60.71
Atoms (fractional coordinates):
As 0.871 0.129 0.250
Ta 0.529 0.355 0.083
Y 0.881 0.703 0.108
Y 0.703 0.881 0.608
As 0.129 0.871 0.750
As 0.293 0.417 0.254
Ta 0.645 0.471 0.417
C 0.500 0.000 0.000
C 0.356 0.788 0.500
Y 0.803 0.954 0.893
C 0.000 0.500 0.500
Y 0.119 0.297 0.892
Ta 0.355 0.529 0.583
Y 0.197 0.046 0.107
Y 0.297 0.119 0.392
As 0.417 0.293 0.754
As 0.583 0.707 0.246
Y 0.046 0.197 0.607
As 0.707 0.583 0.746
C 0.644 0.212 0.500
C 0.788 0.356 0.000
Y 0.954 0.803 0.393
Ta 0.471 0.645 0.917
C 0.212 0.644 0.000

Values from the calculation:
The uncorrected energy comes out at -199.490 eV per cell. The value obtained for the total magnetization is 0.01 μB/f.u.



No. 4
The following is a PBE-GGA calculation of Ta4ZnAsC2 after structural relaxation, from the Open Quantum Materials Database.

Unit cell a=3.226 b=3.226 c=12.809 alpha=90.00 beta=90.00 gamma=120.00
Atoms (fractional coordinates):
Zn 0.667 0.333 0.500
Ta 0.667 0.333 0.147
As 0.333 0.667 0.000
Ta 0.333 0.667 0.331
Ta 0.667 0.333 0.853
Ta 0.333 0.667 0.669
C 0.000 0.000 0.758
C 0.000 0.000 0.242

Values from the calculation:
The uncorrected energy comes out at -75.504 eV per cell. The value obtained for the total magnetization is 0.01 μB/f.u.



No. 5
The following is a PBE-GGA calculation of Zr2Ta4As3C3 after structural relaxation, from the Open Quantum Materials Database.

Unit cell a=5.839 b=5.839 c=12.644 alpha=103.34 beta=103.34 gamma=60.04
Atoms (fractional coordinates):
Ta 0.799 0.973 0.408
Ta 0.861 0.698 0.592
C 0.158 0.671 0.500
As 0.416 0.236 0.249
As 0.584 0.764 0.751
Ta 0.201 0.027 0.592
Ta 0.973 0.799 0.908
As 0.236 0.416 0.749
Zr 0.630 0.466 0.898
C 0.671 0.158 0.000
Ta 0.698 0.861 0.092
C 0.000 0.500 0.000
Zr 0.466 0.630 0.398
As 0.764 0.584 0.251
Zr 0.370 0.534 0.102
Zr 0.534 0.370 0.602
C 0.500 0.000 0.500
As 0.069 0.931 0.250
Ta 0.139 0.302 0.408
Ta 0.302 0.139 0.908
Ta 0.027 0.201 0.092
C 0.329 0.842 0.000
As 0.931 0.069 0.750
C 0.842 0.329 0.500

Values from the calculation:
The uncorrected energy comes out at -230.211 eV per cell. The value obtained for the total magnetization is 0.00 μB/f.u.



No. 6
The following is a PBE-GGA calculation of Zr4Ta2As3C3 after structural relaxation, from the Open Quantum Materials Database.

Unit cell a=5.916 b=5.916 c=12.921 alpha=103.24 beta=103.24 gamma=60.01
Atoms (fractional coordinates):
C 0.000 0.500 0.000
Ta 0.641 0.470 0.910
Ta 0.530 0.359 0.590
Zr 0.962 0.803 0.899
Zr 0.038 0.197 0.101
Ta 0.359 0.530 0.090
Zr 0.871 0.701 0.601
C 0.179 0.660 0.500
Zr 0.197 0.038 0.601
As 0.416 0.267 0.251
As 0.733 0.584 0.249
As 0.099 0.901 0.250
As 0.267 0.416 0.751
As 0.901 0.099 0.750
C 0.821 0.340 0.500
Zr 0.299 0.129 0.899
C 0.500 0.000 0.500
Zr 0.701 0.871 0.101
As 0.584 0.733 0.749
C 0.340 0.821 0.000
C 0.660 0.179 0.000
Zr 0.803 0.962 0.399
Ta 0.470 0.641 0.410
Zr 0.129 0.299 0.399

Values from the calculation:
The uncorrected energy comes out at -219.976 eV per cell. The value obtained for the total magnetization is 0.00 μB/f.u.



No. 7
The following is a PBE-GGA calculation of AsW4C3 after structural relaxation, from the Open Quantum Materials Database.

Unit cell a=3.162 b=3.162 c=22.579 alpha=90.00 beta=90.00 gamma=120.00
Atoms (fractional coordinates):
C 0.000 0.000 0.000
W 0.000 0.000 0.158
W 0.667 0.333 0.942
As 0.667 0.333 0.750
C 0.000 0.000 0.500
C 0.333 0.667 0.613
C 0.667 0.333 0.387
W 0.000 0.000 0.842
C 0.667 0.333 0.113
W 0.000 0.000 0.658
C 0.333 0.667 0.887
W 0.667 0.333 0.558
W 0.333 0.667 0.442
W 0.000 0.000 0.342
As 0.333 0.667 0.250
W 0.333 0.667 0.058

Values from the calculation:
The uncorrected energy comes out at -164.037 eV per cell. The value obtained for the total magnetization is 0.00 μB/f.u.



No. 8
The following is a PBE-GGA calculation of AsW2C after structural relaxation, from the Open Quantum Materials Database.

Unit cell a=5.437 b=5.437 c=13.714 alpha=106.18 beta=106.18 gamma=59.86
Atoms (fractional coordinates):
W 0.797 0.457 0.412
As 0.357 0.643 0.250
W 0.124 0.463 0.912
W 0.210 0.870 0.088
W 0.543 0.203 0.088
C 0.167 0.167 0.000
W 0.790 0.130 0.912
C 0.833 0.833 0.000
W 0.130 0.790 0.412
W 0.203 0.543 0.588
W 0.870 0.210 0.588
As 0.024 0.310 0.250
As 0.310 0.024 0.750
W 0.876 0.537 0.088
As 0.976 0.690 0.750
C 0.833 0.833 0.500
C 0.167 0.167 0.500
As 0.690 0.976 0.250
W 0.457 0.797 0.912
W 0.537 0.876 0.588
As 0.643 0.357 0.750
C 0.500 0.500 0.000
W 0.463 0.124 0.412
C 0.500 0.500 0.500

Values from the calculation:
The uncorrected energy comes out at -233.890 eV per cell. The value obtained for the total magnetization is 0.00 μB/f.u. The calculation puts the energy above the most stable polymorph in this dataset at 0.000 eV/atom.



No. 9
The following is a PBE-GGA calculation of AsW2C after structural relaxation, from the Open Quantum Materials Database.

Unit cell a=3.267 b=3.267 c=11.932 alpha=90.00 beta=90.00 gamma=120.00
Atoms (fractional coordinates):
As 0.667 0.333 0.250
W 0.667 0.333 0.588
W 0.333 0.667 0.088
C 0.000 0.000 0.000
C 0.000 0.000 0.500
W 0.667 0.333 0.912
W 0.333 0.667 0.412
As 0.333 0.667 0.750

Values from the calculation:
The uncorrected energy comes out at -77.911 eV per cell. The value obtained for the total magnetization is 0.00 μB/f.u. The calculation puts the energy above the most stable polymorph in this dataset at 0.007 eV/atom.



No. 10
The following is a PBE-GGA calculation of ZnAsW4C2 after structural relaxation, from the Open Quantum Materials Database.

Unit cell a=3.104 b=3.104 c=12.978 alpha=90.00 beta=90.00 gamma=120.00
Atoms (fractional coordinates):
As 0.000 0.000 0.000
W 0.667 0.333 0.154
W 0.000 0.000 0.333
C 0.333 0.667 0.754
Zn 0.667 0.333 0.500
W 0.667 0.333 0.846
W 0.000 0.000 0.667
C 0.333 0.667 0.246

Values from the calculation:
The uncorrected energy comes out at -74.707 eV per cell. The value obtained for the total magnetization is 0.00 μB/f.u.



No. 11
The following is a PBE-GGA calculation of Zr4As3W2C3 after structural relaxation, from the Open Quantum Materials Database.

Unit cell a=5.870 b=5.870 c=12.776 alpha=103.08 beta=103.08 gamma=60.11
Atoms (fractional coordinates):
As 0.584 0.722 0.750
Zr 0.299 0.127 0.897
As 0.278 0.416 0.750
W 0.474 0.650 0.418
Zr 0.195 0.040 0.603
C 0.500 0.000 0.500
Zr 0.040 0.195 0.103
Zr 0.873 0.701 0.603
Zr 0.127 0.299 0.397
C 0.823 0.338 0.500
C 0.662 0.177 0.000
Zr 0.805 0.960 0.397
As 0.416 0.278 0.250
Zr 0.701 0.873 0.103
As 0.116 0.884 0.250
As 0.884 0.116 0.750
C 0.338 0.823 0.000
As 0.722 0.584 0.250
W 0.350 0.526 0.082
C 0.177 0.662 0.500
C 0.000 0.500 0.000
Zr 0.960 0.805 0.897
W 0.650 0.474 0.918
W 0.526 0.350 0.582

Values from the calculation:
The uncorrected energy comes out at -219.899 eV per cell. The value obtained for the total magnetization is 0.00 μB/f.u.



No. 12
The following is a PBE-GGA calculation of Zr2As3W4C3 after structural relaxation, from the Open Quantum Materials Database.

Unit cell a=5.728 b=5.728 c=12.600 alpha=102.87 beta=102.87 gamma=60.11
Atoms (fractional coordinates):
W 0.023 0.197 0.085
Zr 0.630 0.464 0.893
As 0.053 0.947 0.250
C 0.332 0.838 0.000
As 0.947 0.053 0.750
As 0.219 0.417 0.751
W 0.857 0.696 0.584
As 0.781 0.583 0.249
W 0.696 0.857 0.084
Zr 0.536 0.370 0.607
As 0.417 0.219 0.251
C 0.500 0.000 0.500
W 0.197 0.023 0.585
C 0.668 0.162 0.000
Zr 0.370 0.536 0.107
W 0.803 0.977 0.415
As 0.583 0.781 0.749
W 0.304 0.143 0.916
C 0.162 0.668 0.500
W 0.977 0.803 0.915
C 0.838 0.332 0.500
C 0.000 0.500 0.000
W 0.143 0.304 0.416
Zr 0.464 0.630 0.393

Values from the calculation:
The uncorrected energy comes out at -228.043 eV per cell. The value obtained for the total magnetization is 0.01 μB/f.u.



No. 13
The following is a PBE-GGA calculation of Y4ZnAsC2 after structural relaxation, from the Open Quantum Materials Database.

Unit cell a=3.699 b=3.699 c=14.079 alpha=90.00 beta=90.00 gamma=120.00
Last column: magnetic moment on the atom in μB.
Atoms (fractional coordinates):
Y 0.000 0.000 0.664  0.11
Y 0.000 0.000 0.336  0.10
As 0.000 0.000 0.000  -0.01
Y 0.667 0.333 0.855  0.02
C 0.333 0.667 0.247  -0.02
Zn 0.667 0.333 0.500  0.07
C 0.333 0.667 0.753  -0.01
Y 0.667 0.333 0.145  0.01

Values from the calculation:
The uncorrected energy comes out at -54.073 eV per cell. The value obtained for the total magnetization is 0.64 μB/f.u.



No. 14
The following is a PBE-GGA calculation of Y4ZnAsC2 after structural relaxation, from the Open Quantum Materials Database.

Unit cell a=3.700 b=3.700 c=14.071 alpha=90.00 beta=90.00 gamma=120.00
Last column: magnetic moment on the atom in μB.
Atoms (fractional coordinates):
Y 0.333 0.667 0.355  0.01
Y 0.000 0.000 0.836  0.11
C 0.667 0.333 0.253  -0.02
C 0.667 0.333 0.747  -0.02
As 0.000 0.000 0.500  -0.01
Zn 0.333 0.667 0.000  0.07
Y 0.000 0.000 0.164  0.10
Y 0.333 0.667 0.645  0.02

Values from the calculation:
The uncorrected energy comes out at -54.072 eV per cell. The value obtained for the total magnetization is 0.65 μB/f.u.



No. 15
The following is a PBE-GGA calculation of Y2Zr4As3C3 after structural relaxation, from the Open Quantum Materials Database.

Unit cell a=6.157 b=6.157 c=13.419 alpha=90.05 beta=103.24 gamma=119.93
Atoms (fractional coordinates):
Zr 0.603 0.136 0.903
As 0.520 0.417 0.749
Zr 0.396 0.031 0.597
Y 0.266 0.464 0.893
Zr 0.604 0.969 0.403
Y 0.734 0.536 0.107
Y 0.929 0.628 0.393
As 0.184 0.934 0.250
C 0.322 0.143 0.000
As 0.480 0.583 0.251
Y 0.071 0.372 0.607
As 0.168 0.771 0.751
Zr 0.397 0.864 0.097
C 0.678 0.857 0.000
Zr 0.934 0.799 0.903
As 0.832 0.229 0.249
C 0.357 0.678 0.500
As 0.816 0.066 0.750
C 0.000 0.500 0.000
Zr 0.734 0.700 0.597
C 0.000 0.000 0.500
Zr 0.066 0.201 0.097
Zr 0.266 0.300 0.403
C 0.643 0.322 0.500

Values from the calculation:
The uncorrected energy comes out at -198.477 eV per cell. The value obtained for the total magnetization is 0.01 μB/f.u.



No. 16
The following is a PBE-GGA calculation of Y4Zr2As3C3 after structural relaxation, from the Open Quantum Materials Database.

Unit cell a=6.269 b=6.269 c=13.877 alpha=103.20 beta=103.20 gamma=60.16
Atoms (fractional coordinates):
Y 0.702 0.871 0.105
Y 0.129 0.298 0.395
Zr 0.531 0.362 0.591
Zr 0.638 0.469 0.909
As 0.893 0.107 0.750
C 0.349 0.802 0.000
Y 0.298 0.129 0.895
C 0.198 0.651 0.500
C 0.802 0.349 0.500
Zr 0.469 0.638 0.409
As 0.275 0.417 0.751
Y 0.200 0.038 0.605
As 0.725 0.583 0.249
C 0.500 0.000 0.500
As 0.583 0.725 0.749
C 0.651 0.198 0.000
Y 0.962 0.800 0.895
Y 0.871 0.702 0.605
Zr 0.362 0.531 0.091
As 0.107 0.893 0.250
Y 0.038 0.200 0.105
Y 0.800 0.962 0.395
As 0.417 0.275 0.251
C 0.000 0.500 0.000

Values from the calculation:
The uncorrected energy comes out at -188.881 eV per cell. The value obtained for the total magnetization is 0.00 μB/f.u.



No. 17
The following is a PBE-GGA calculation of Zr3AsC2 after structural relaxation, from the Open Quantum Materials Database.

Unit cell a=3.430 b=3.430 c=18.151 alpha=90.00 beta=90.00 gamma=120.00
Atoms (fractional coordinates):
Zr 0.000 0.000 0.000
Zr 0.333 0.667 0.642
As 0.000 0.000 0.250
As 0.000 0.000 0.750
Zr 0.333 0.667 0.858
Zr 0.667 0.333 0.142
C 0.667 0.333 0.577
Zr 0.000 0.000 0.500
C 0.333 0.667 0.423
Zr 0.667 0.333 0.358
C 0.667 0.333 0.923
C 0.333 0.667 0.077

Values from the calculation:
The uncorrected energy comes out at -108.643 eV per cell. The value obtained for the total magnetization is 0.00 μB/f.u.